16
Lattice="-5.620 5.620 1.476 5.620 -5.620 1.476 5.620 5.620 -1.476" Properties=species:S:1:pos:R:3 comment="MnHO2, relaxed, DFT GGA+U" density_g_cm3=3.1 energy_ev_per_cell=-104.13 magnetic_moment_mub_per_cell=16.0 pbc="T T T"
Mn 7.287 1.663 0.000
Mn 1.663 3.953 0.000
Mn 3.957 1.667 1.476
Mn -1.667 3.957 1.476
H 4.819 3.494 0.000
H 2.126 -0.801 1.476
H 3.494 6.421 0.000
H 0.801 2.126 1.476
O 3.693 0.457 0.000
O 3.938 3.074 0.000
O 5.163 -1.927 1.476
O 2.546 -1.682 1.476
O 3.074 7.302 0.000
O 0.457 7.547 0.000
O 1.682 2.546 1.476
O 1.927 5.163 1.476